Entry 1:
Pm2AgRh (PBE-GGA, optimized geometry); ΔH_f (0 K) = -0.491 eV per atom; electronic total energy = -5.417 eV/atom; total moment = 0.00 μB per cell; density of states at the Fermi level = 0.882 states/eV/atom; energy relative to the lowest polymorph listed for this composition = 0.000 eV per atom; volume = 95.3 Å³ per cell; space group = P4/mmm (123)
1.0
3.592 0.000 0.000
0.000 3.592 0.000
0.000 0.000 7.386
Pm Ag Rh
2 1 1
Cartesian
0.000 0.000 1.690
0.000 0.000 5.696
1.796 1.796 3.693
1.796 1.796 0.000

***

Entry 2:
Li2ReW (PBE-GGA, optimized geometry); ΔH_f (0 K) = 0.361 eV per atom; electronic total energy = -6.946 eV/atom; total moment = 0.00 μB per cell; density of states at the Fermi level = 0.369 states/eV/atom; energy relative to the lowest polymorph listed for this composition = 0.129 eV per atom; volume = 62.5 Å³ per cell; space group = Pmm2 (25)
1.0
2.560 0.000 0.000
0.000 4.257 0.000
0.000 0.000 5.739
Li Re W
2 1 1
Cartesian
0.000 0.000 0.000
1.280 2.128 1.250
0.000 0.000 2.896
1.280 2.128 4.035

***

Entry 3:
CaReAs2 (PBE-GGA, optimized geometry); ΔH_f (0 K) = 0.312 eV per atom; electronic total energy = -5.626 eV/atom; total moment = 1.60 μB per cell; density of states at the Fermi level = 0.716 states/eV/atom; energy relative to the lowest polymorph listed for this composition = 0.604 eV per atom; volume = 75.4 Å³ per cell; space group = I-4m2 (119)
1.0
-1.976 1.976 4.826
1.976 -1.976 4.826
1.976 1.976 -4.826
Ca Re As
1 1 2
Cartesian
0.000 0.000 0.000
1.976 0.000 2.413
0.000 0.000 4.826
0.000 1.976 2.413

***

Entry 4:
LaMgS3 (PBE-GGA, optimized geometry); electronic total energy = -5.075 eV/atom; total moment = 2.03 μB per cell; energy relative to the elements, uncorrected = -1.29 eV/atom; density of states at the Fermi level = 0.032 states/eV/atom; energy relative to the lowest polymorph listed for this composition = 0.120 eV per atom; volume = 288.1 Å³ per cell; space group = C2/m (12)
1.0
4.098 -5.700 0.000
4.098 5.700 0.000
-3.096 0.000 6.166
La Mg S
2 2 6
Cartesian
0.949 0.000 1.611
4.152 0.000 4.555
4.098 1.816 0.000
4.098 -1.816 0.000
2.982 3.938 0.853
2.119 3.938 5.313
1.297 0.000 4.452
3.804 0.000 1.714
2.982 -3.938 0.853
2.119 -3.938 5.313

***

Entry 5:
GdGaIr (PBE-GGA, optimized geometry); ΔH_f (0 K) = -0.571 eV per atom; electronic total energy = -9.228 eV/atom; total moment = 7.19 μB per cell; density of states at the Fermi level = 0.602 states/eV/atom; volume = 57.4 Å³ per cell; space group = I4mm (107)
1.0
-1.613 1.613 5.518
1.613 -1.613 5.518
1.613 1.613 -5.518
Gd Ga Ir
1 1 1
Cartesian
0.000 0.000 0.000
0.000 0.000 7.761
0.000 0.000 3.544

***

Entry 6:
Dy5Pb3 (PBE-GGA, optimized geometry); ΔH_f (0 K) = -0.540 eV per atom; electronic total energy = -4.806 eV/atom; total moment = 0.00 μB per cell; density of states at the Fermi level = 0.526 states/eV/atom; volume = 471.5 Å³ per cell; space group = P6_3/mcm (193)
1.0
9.063 0.000 0.000
-4.532 7.849 0.000
0.000 0.000 6.628
Dy Pb
10 6
Cartesian
-1.072 1.857 1.657
-3.460 5.993 4.971
2.144 0.000 1.657
1.072 1.857 4.971
0.000 5.233 0.000
0.000 5.233 3.314
4.532 2.616 0.000
4.532 2.616 3.314
6.920 0.000 4.971
3.460 5.993 1.657
-1.788 3.097 4.971
-2.744 4.752 1.657
3.576 0.000 4.971
1.788 3.097 1.657
5.487 0.000 1.657
2.744 4.752 4.971

***

Entry 7:
NdY7Th3 (PBE-GGA, optimized geometry); ΔH_f (0 K) = 0.218 eV per atom; electronic total energy = -6.352 eV/atom; total moment = 0.00 μB per cell; density of states at the Fermi level = 1.400 states/eV/atom; volume = 378.2 Å³ per cell; space group = P3m1 (156)
1.0
7.126 0.000 0.000
-3.563 6.171 0.000
0.000 0.000 8.600
Nd Y Th
1 7 3
Cartesian
0.000 0.000 0.000
0.000 2.047 2.971
-1.790 5.147 2.971
3.563 0.016 0.032
1.795 3.078 0.032
3.563 2.057 2.977
1.790 5.147 2.971
5.331 3.078 0.032
1.791 1.034 5.789
5.334 1.034 5.789
3.563 4.103 5.789

***

Entry 8:
Tb2Sm3Cd2 (PBE-GGA, optimized geometry); ΔH_f (0 K) = -0.157 eV per atom; electronic total energy = -3.763 eV/atom; total moment = 0.00 μB per cell; density of states at the Fermi level = 1.012 states/eV/atom; energy relative to the lowest polymorph listed for this composition = 0.000 eV per atom; volume = 207.5 Å³ per cell; space group = R-3m (166)
1.0
2.728 1.575 8.048
-2.728 1.575 8.048
0.000 -3.151 8.048
Tb Sm Cd
2 3 2
Cartesian
0.000 0.000 1.788
0.000 0.000 22.355
0.000 0.000 8.265
0.000 0.000 12.071
0.000 0.000 15.878
0.000 0.000 5.094
0.000 0.000 19.049

***

Q: What is the total moment in the seventh record?
A: 0.00 μB per cell